# 1
# CaMgIn2

A relaxed structure of CaMgIn2 (PBE, Alexandria).

```
data_CaMgIn2
_space_group_name_H-M_alt 'P 1'
_space_group_IT_number 1
_space_group_name_Hall 'P 1'
_cell_length_a 7.5049
_cell_length_b 7.5049
_cell_length_c 7.5049
_cell_angle_alpha 90.00
_cell_angle_beta 90.00
_cell_angle_gamma 90.00
loop_
_atom_site_label
_atom_site_fract_x
_atom_site_fract_y
_atom_site_fract_z
Ca1 0.0000 0.0000 0.0000
Ca2 0.0000 0.5000 0.5000
Ca3 0.5000 0.0000 0.5000
Ca4 0.5000 0.5000 0.0000
Mg1 0.2500 0.2500 0.2500
Mg2 0.2500 0.7500 0.7500
Mg3 0.7500 0.2500 0.7500
Mg4 0.7500 0.7500 0.2500
In1 0.0000 0.0000 0.5000
In2 0.0000 0.5000 0.0000
In3 0.2500 0.2500 0.7500
In4 0.2500 0.7500 0.2500
In5 0.5000 0.0000 0.0000
In6 0.5000 0.5000 0.5000
In7 0.7500 0.2500 0.2500
In8 0.7500 0.7500 0.7500
```

final energy: -2.451 eV/atom
energy of formation from the pure elements: -0.182 eV per atom
space group: F-43m, No. 216

***

# 2
# Zr2BeTe

A relaxed structure of Zr2BeTe (PBE, Alexandria).

```
data_Zr2BeTe
_space_group_name_H-M_alt 'P 1'
_space_group_IT_number 1
_space_group_name_Hall 'P 1'
_cell_length_a 10.6276
_cell_length_b 3.5319
_cell_length_c 4.6583
_cell_angle_alpha 90.00
_cell_angle_beta 115.23
_cell_angle_gamma 90.00
loop_
_atom_site_label
_atom_site_fract_x
_atom_site_fract_y
_atom_site_fract_z
Zr1 0.0000 0.0000 0.0000
Zr2 0.2325 0.0000 0.6734
Zr3 0.5000 0.5000 0.0000
Zr4 0.7325 0.5000 0.6734
Be1 0.4912 0.0000 0.5059
Be2 0.9912 0.5000 0.5059
Te1 0.2647 0.5000 0.2082
Te2 0.7647 0.0000 0.2082
```

final energy: -6.118 eV/atom
excess energy over the best structure of this formula in the dataset: 294 meV/atom
space group: Cm, No. 8
formation energy without anion corrections: -0.127 eV/atom

***

# 3
# Zr3Al3Ni3H2

A relaxed structure of Zr3Al3Ni3H2 (PBE, Alexandria).

```
data_Zr3Al3Ni3H2
_space_group_name_H-M_alt 'P 1'
_space_group_IT_number 1
_space_group_name_Hall 'P 1'
_cell_length_a 6.8637
_cell_length_b 6.8637
_cell_length_c 3.6539
_cell_angle_alpha 90.00
_cell_angle_beta 90.00
_cell_angle_gamma 120.00
loop_
_atom_site_label
_atom_site_fract_x
_atom_site_fract_y
_atom_site_fract_z
Zr1 0.0000 0.5947 0.0000
Zr2 0.4053 0.4053 0.0000
Zr3 0.5947 0.0000 0.0000
Al1 0.0000 0.2485 0.5000
Al2 0.2485 0.0000 0.5000
Al3 0.7515 0.7515 0.5000
Ni1 0.0000 0.0000 0.0000
Ni2 0.3333 0.6667 0.5000
Ni3 0.6667 0.3333 0.5000
H1 0.3333 0.6667 0.0000
H2 0.6667 0.3333 0.0000
```

final energy: -6.163 eV/atom
space group: P-62m, No. 189